Record 1
VASP calculation (PBE) on a relaxed NiMoPt crystal.

Lattice parameters (Å, degrees): 2.7546 2.7546 6.5302 90.00 90.00 120.00
Sites, in units of the cell vectors:
Ni 0.0000 0.0000 0.0000
Mo 0.3333 0.6667 0.6852
Pt 0.6667 0.3333 0.3335

## Properties
formation energy from the elements = -0.0257 eV per atom
space-group type = P3m1, No. 156
DOS at the Fermi energy = 4.1 states/eV/f.u.
energy above the most stable polymorph in this dataset = 0.2311 eV per atom

=====

Record 2
VASP calculation (PBE) on a relaxed SiIr2Br crystal.

Lattice parameters (Å, degrees): 2.9755 2.9836 7.3589 90.00 90.00 90.00
Sites, in units of the cell vectors:
Si 0.0000 0.0000 0.0000
Ir 0.5000 0.5000 0.1852
Ir 0.5000 0.5000 0.8148
Br 0.0000 0.5000 0.5000

## Properties
space-group type = Pmmm, No. 47
DOS at the Fermi energy = 1.6 states/eV/f.u.
formation energy from raw total energies = -0.0251 eV per atom
energy above the most stable polymorph in this dataset = 0.0246 eV per atom

=====

Record 3
VASP calculation (PBE) on a relaxed Ca4MgRu crystal.

Lattice parameters (Å, degrees): 6.2956 6.2956 6.2956 60.00 60.00 60.00
Sites, in units of the cell vectors:
Ca 0.3761 0.3761 0.3761
Ca 0.3761 0.3761 0.8717
Ca 0.3761 0.8717 0.3761
Ca 0.8717 0.3761 0.3761
Mg 0.0000 0.0000 0.0000
Ru 0.7500 0.7500 0.7500

## Properties
formation energy from the elements = 0.7960 eV per atom
space-group type = F-43m, No. 216
DOS at the Fermi energy = 7.5 states/eV/f.u.
energy above the most stable polymorph in this dataset = 0.7828 eV per atom

=====

Record 4
VASP calculation (PBE) on a relaxed CsSrTeN2 crystal.

Lattice parameters (Å, degrees): 4.8487 4.8487 7.4615 90.00 90.00 90.00
Sites, in units of the cell vectors:
Cs 0.0000 0.0000 0.0000
Sr 0.5000 0.5000 0.5000
Te 0.0000 0.0000 0.5000
N 0.0000 0.5000 0.0000
N 0.5000 0.0000 0.0000

## Properties
space-group type = P4/mmm, No. 123
DOS at the Fermi energy = 2.8 states/eV/f.u.
formation energy from raw total energies = 1.3222 eV per atom
energy above the most stable polymorph in this dataset = 0.5524 eV per atom

=====

Record 5
VASP calculation (PBE) on a relaxed AlCuNi4 crystal.

Lattice parameters (Å, degrees): 7.9514 2.5469 6.8128 90.00 90.00 90.00
Sites, in units of the cell vectors:
Al 0.2500 0.0000 0.1882
Al 0.7500 0.0000 0.8118
Cu 0.2500 0.0000 0.5487
Cu 0.7500 0.0000 0.4513
Ni 0.0000 0.0000 0.0000
Ni 0.0157 0.5000 0.3249
Ni 0.2500 0.5000 0.8726
Ni 0.4843 0.5000 0.3249
Ni 0.5000 0.0000 0.0000
Ni 0.5157 0.5000 0.6751
Ni 0.7500 0.5000 0.1274
Ni 0.9843 0.5000 0.6751

## Properties
formation energy from the elements = -0.1538 eV per atom
space-group type = Pmma, No. 51
DOS at the Fermi energy = 6.6 states/eV/f.u.
energy above the most stable polymorph in this dataset = 0.0782 eV per atom

=====

Record 6
VASP calculation (PBE) on a relaxed YGa2Au8 crystal.

Lattice parameters (Å, degrees): 7.4557 7.4557 7.7271 116.87 116.87 33.53
Sites, in units of the cell vectors:
Y 0.0000 0.0000 0.0000
Ga 0.2798 0.2798 0.3036
Ga 0.7202 0.7202 0.6964
Au 0.0955 0.0955 0.4655
Au 0.1836 0.1836 0.8969
Au 0.3369 0.3369 0.7145
Au 0.4573 0.4573 0.2527
Au 0.5427 0.5427 0.7473
Au 0.6631 0.6631 0.2855
Au 0.8164 0.8164 0.1031
Au 0.9045 0.9045 0.5345

## Properties
formation energy from the elements = -0.3167 eV per atom
space-group type = C2/m, No. 12
DOS at the Fermi energy = 2.8 states/eV/f.u.
energy above the most stable polymorph in this dataset = 0.0000 eV per atom